Record 1
LaNdPuSc | the Alexandria database | PBE-GGA | relaxed; size of the total moment = 7.5 μB per formula unit; ΔH_f (0 K) = 0.206 eV/atom; DOS(E_F) = 3.51 states/eV/atom
1.0
5.5883 0.0000 0.0000
2.7942 4.8396 0.0000
2.7942 1.6132 4.5629
La Sc Nd Pu
1 1 1 1
direct
0.2500 0.2500 0.2500
0.0000 0.0000 0.0000
0.7500 0.7500 0.7500
0.5000 0.5000 0.5000

***

Record 2
Li2HoHg2 | the Alexandria database | PBE-GGA | relaxed; size of the total moment = 0.0 μB per formula unit; ΔH_f (0 K) = -0.338 eV/atom; DOS(E_F) = 0.45 states/eV/atom; energy above the most stable polymorph in this dataset = 0 meV per atom
1.0
4.6873 0.3434 2.9561
1.8659 4.3136 2.9561
0.5325 0.3784 5.4954
Li Hg Ho
2 2 1
direct
0.4158 0.4158 0.4189
0.5842 0.5842 0.5811
0.2222 0.2222 0.2206
0.7778 0.7778 0.7794
0.0000 0.0000 0.0000

***

Record 3
PrCd4Bi | the Alexandria database | PBE-GGA | relaxed; size of the total moment = 0.0 μB per formula unit; ΔH_f (0 K) = -0.152 eV/atom; DOS(E_F) = 0.52 states/eV/atom
1.0
-0.1057 -4.2375 4.3153
4.0165 -4.5218 -0.1024
4.4126 -0.2199 4.1316
Cd Bi Pr
4 1 1
direct
0.6248 0.6248 0.6248
0.6248 0.1255 0.6248
0.1255 0.6248 0.6248
0.6248 0.6248 0.1255
0.2500 0.2500 0.2500
0.0000 0.0000 0.0000

***

Record 4
YNi2Ag | the Alexandria database | PBE-GGA | relaxed; size of the total moment = 0.0 μB per formula unit; ΔH_f (0 K) = 0.166 eV/atom; DOS(E_F) = 0.68 states/eV/atom; energy above the most stable polymorph in this dataset = 327 meV per atom
1.0
-0.7942 1.7192 3.7821
-4.1482 -0.1157 -0.8185
-2.9501 -7.2703 5.0506
Ni Y Ag
4 2 2
direct
0.7645 0.1250 0.2500
0.3750 0.2355 0.7500
0.9855 0.6250 0.2500
0.8750 0.0145 0.7500
0.5000 0.5000 0.0000
0.2500 0.7500 0.5000
0.7500 0.2500 0.5000
0.0000 0.0000 0.0000

***

Record 5
ZnCd4Hg5 | the Alexandria database | PBE-GGA | relaxed; size of the total moment = 0.0 μB per formula unit; ΔH_f (0 K) = 0.056 eV/atom; DOS(E_F) = 0.26 states/eV/atom; energy above the most stable polymorph in this dataset = 12 meV per atom
1.0
-2.9393 -2.2091 -0.7397
-0.7195 -0.2719 3.6709
-9.8895 13.4733 -0.9407
Hg Cd Zn
5 4 1
direct
0.5000 0.5000 0.7038
0.5000 0.5000 0.2962
0.5000 0.5000 0.9075
0.5000 0.5000 0.5000
0.5000 0.5000 0.0925
0.0000 0.0000 0.6021
0.0000 0.0000 0.8061
0.0000 0.0000 0.1939
0.0000 0.0000 0.3979
0.0000 0.0000 0.0000

***

Record 6
Ga3GeS | the Alexandria database | PBE-GGA | relaxed; size of the total moment = 0.0 μB per formula unit; DOS(E_F) = 0.63 states/eV/atom; energy above the most stable polymorph in this dataset = 90 meV per atom
1.0
-2.8815 -2.2588 3.1641
-0.3779 -3.7570 -3.0263
3.8692 -2.0492 2.0608
S Ga Ge
1 3 1
direct
0.0000 0.0000 0.0000
0.5000 0.0000 0.0000
0.0000 0.5000 0.0000
0.0000 0.0000 0.5000
0.5000 0.5000 0.5000